[1]
! PBE K2FeHg, relaxed; values from VASP
! density of states at the Fermi level: 2.816 states/eV/f.u.
! DFT formation energy: 2.52 eV per formula unit
! total moment: 3.05 μB per cell
&SYSTEM
  ibrav = 0, nat = 4, ntyp = 3
/
ATOMIC_SPECIES
K 39.10 K.upf
Hg 200.59 Hg.upf
Fe 55.84 Fe.upf
CELL_PARAMETERS angstrom
-4.638 1.013 -3.761
2.857 -3.134 -4.324
-1.685 -3.209 1.213
ATOMIC_POSITIONS crystal
K 0.000 0.000 0.000
Hg 0.000 0.500 0.500
K 0.500 0.500 0.000
Fe 0.500 0.000 0.500

***

[2]
! PBE KFeHg4, relaxed; values from VASP
! density of states at the Fermi level: 3.220 states/eV/f.u.
! DFT formation energy: 2.31 eV per formula unit
! total moment: 3.07 μB per cell
&SYSTEM
  ibrav = 0, nat = 6, ntyp = 3
/
ATOMIC_SPECIES
Hg 200.59 Hg.upf
K 39.10 K.upf
Fe 55.84 Fe.upf
CELL_PARAMETERS angstrom
0.000 4.321 4.321
4.321 0.000 4.321
4.321 4.321 0.000
ATOMIC_POSITIONS crystal
Hg 0.374 0.374 0.374
Hg 0.877 0.374 0.374
K 0.750 0.750 0.750
Hg 0.374 0.877 0.374
Fe 0.000 0.000 0.000
Hg 0.374 0.374 0.877

***

[3]
! PBE K2FeHg, relaxed; values from VASP
! density of states at the Fermi level: 4.359 states/eV/f.u.
! DFT formation energy: 1.71 eV per formula unit
! total moment: 2.76 μB per cell
&SYSTEM
  ibrav = 0, nat = 4, ntyp = 3
/
ATOMIC_SPECIES
Fe 55.84 Fe.upf
Hg 200.59 Hg.upf
K 39.10 K.upf
CELL_PARAMETERS angstrom
-0.927 -2.362 2.790
3.453 0.378 1.468
-3.231 7.854 5.577
ATOMIC_POSITIONS crystal
Fe 0.000 0.000 0.602
Hg 0.500 0.500 0.652
K 0.000 0.000 0.918
K 0.500 0.500 0.327